DFT (PBE) results for a geometry-optimized ThSbW structure.

Its volume is 151 Å³/cell. The total DFT energy (no corrections) is -48.06 eV for the cell shown. The calculation puts the size of the total moment at 0.0 μB/cell. The calculation puts the calculated density at 11.9 Mg/m³. For the uncorrected formation energy, the calculation gives 0.15 eV/atom.

The space group is P4/nmm (No. 129, origin choice 2) and the conventional cell measures 3.6717, 3.6717 and 11.1637 Å, with angles of 90.00, 90.00 and 90.00 degrees. The asymmetric unit holds Th at (0.2500, 0.2500, 0.2463), Sb at (0.2500, 0.2500, 0.5781) and W at (0.2500, 0.2500, 0.9722).